(1)
CeGe6Se8 | PBE-GGA | relaxed

Cell and atoms, written as extended XYZ:
```
15
Lattice="-1.6358 -5.3489 5.4189 6.0807 -4.8644 -0.1204 4.2964 2.0482 6.1642" Properties=species:S:1:pos:R:3 pbc="T T T"
Ce 0.0000 0.0000 0.0000
Ge 5.1427 -3.5620 8.7756
Ge 7.3822 -5.0830 5.9843
Ge 4.1597 -6.9398 7.1191
Ge 3.5987 -4.6031 2.6872
Ge 1.3591 -3.0822 5.4784
Ge 4.5816 -1.2253 4.3437
Se 6.2576 -5.8451 8.2057
Se 2.4838 -2.3201 3.2571
Se 4.9923 -7.4353 4.7148
Se 2.6277 -4.1873 8.8316
Se 7.5134 -2.5133 6.2983
Se 3.7491 -0.7299 6.7480
Se 6.1137 -3.9779 2.6311
Se 1.2280 -5.6519 5.1644
```

Properties
**ΔE_f (raw)**: -463 meV/atom
**Total magnetic moment**: 0.1 μB/f.u.
**Volume**: 433 Å³ per cell

=====

(2)
LiNd3Ni | PBE-GGA | relaxed

Cell and atoms, written as extended XYZ:
```
20
Lattice="6.8811 -0.3556 0.1449 3.0598 6.1733 0.1449 3.6571 2.1403 12.9306" Properties=species:S:1:pos:R:3 pbc="T T T"
Li 9.0688 4.1461 10.8752
Li 7.3703 3.1521 8.8105
Li 4.5292 3.8119 2.3451
Li 6.2277 4.8059 4.4098
Nd 11.2489 6.8578 10.9905
Nd 3.9383 2.5795 8.6951
Nd 2.3491 1.1003 2.2298
Nd 9.6597 5.3786 4.5253
Nd 9.0899 6.0114 8.1050
Nd 5.7335 4.0473 11.5805
Nd 4.5081 1.9466 5.1153
Nd 7.8645 3.9108 1.6398
Nd 7.7854 6.8945 12.2636
Nd 5.6023 5.6168 7.4221
Nd 7.9957 2.3412 5.7982
Nd 5.8127 1.0635 0.9567
Ni 3.3585 4.1568 6.5377
Ni 3.4406 -0.1778 0.0724
Ni 6.5932 2.2334 3.3773
Ni 7.0048 5.7246 9.8430
```

Properties
**Energy relative to the elements**: -0.020 eV per atom
**DOS at the Fermi energy**: 5.40 states/eV/f.u.
**Total magnetic moment**: 0.0 μB/f.u.
**Volume**: 559 Å³ per cell

=====

(3)
Cs3K2RbF6 | PBE-GGA | relaxed

Cell and atoms, written as extended XYZ:
```
12
Lattice="-3.9423 -5.6848 -1.6213 0.8065 1.9402 6.7876 -4.4078 5.1719 -2.2004" Properties=species:S:1:pos:R:3 pbc="T T T"
Cs -2.1891 3.2550 4.2856
Cs -5.3546 -1.8277 -1.3197
Cs -3.7718 0.7137 1.4830
K -0.7744 -0.5982 3.9883
K -2.3614 -3.1464 1.1780
Rb 0.0000 0.0000 0.0000
F -6.5824 -0.1274 0.7506
F -3.2963 -1.5756 3.2902
F -0.9612 1.5547 2.2153
F -4.9565 2.4832 3.6297
F -4.2474 3.0029 -0.3243
F -2.5871 -1.0559 -0.6638
```

Properties
**ΔE_f (raw)**: -2661 meV/atom
**DOS at the Fermi energy**: 0.00 states/eV/f.u.
**Total magnetic moment**: 0.4 μB/f.u.
**Volume**: 295 Å³ per cell

=====

- Among the records above, which one has the highest volume?
  LiNd3Ni